No. 1
Material: PaIn2Hg
Method: DFT, PBE
State: optimized geometry

The structure belongs to space group R-3m (No. 166, hexagonal axes); the cell edges are 4.8424, 4.8424 and 15.1418 Å and the angles 90.00°, 90.00° and 120.00°. The inequivalent atoms are Pa at (0.0000, 0.0000, 0.0000), In at (0.0000, 0.0000, 0.2354) and Hg at (0.0000, 0.0000, 0.5000).

The offset from the most stable computed form comes out at 1.11 eV per formula unit. Its electronic total energy is -43.3 eV for the cell shown.

=====

No. 2
Material: TlAsSCl2
Method: DFT, PBE
State: optimized geometry

The structure belongs to space group P4/mmm (No. 123); the cell edges are 5.225, 5.225 and 4.781 Å and the angles 90.00°, 90.00° and 90.00°. The inequivalent atoms are Tl at (0.000, 0.000, 0.000), As at (0.500, 0.500, 0.500), S at (0.500, 0.500, 0.000) and Cl at (0.000, 0.500, 0.500).

The offset from the most stable computed form comes out at 0.00 eV per formula unit. Its electronic total energy is -16.9 eV for the cell shown. Its uncorrected formation energy is -0.4168 eV/atom.

=====

No. 3
Material: RbIrOs
Method: DFT, PBE
State: optimized geometry

The structure belongs to space group P1 (No. 1); the cell edges are 4.809, 4.812 and 10.641 Å and the angles 87.39°, 79.50° and 66.13°. The inequivalent atoms are Rb at (0.000, 0.000, 0.000), Rb at (0.255, 0.457, 0.414), Ir at (0.110, 0.481, 0.748), Ir at (0.610, 0.981, 0.748), Os at (0.144, 0.975, 0.669) and Os at (0.644, 0.475, 0.670).

The offset from the most stable computed form comes out at 0.00 eV per formula unit. Its electronic total energy is -38.9 eV for the cell shown.